# 1
## NiTeMo2 (PBE)

Data for a geometry-optimized NiTeMo2 structure.

Computed properties:
total moment = 0.00 μB/f.u.
volume = 65.3 Å³ per cell
uncorrected formation energy = 1.484 eV/f.u.

POSCAR file:
```
NiTeMo2
1.0
3.0517 0.0000 0.0000
0.0000 4.2004 0.0000
-1.1902 0.0000 5.0913
Ni Te Mo
1 1 2
direct
0.0000 0.0000 0.0000
0.0972 0.5000 0.2504
0.4238 0.5000 0.7761
0.6638 0.0000 0.5143
```


# 2
## NiTeMo2 (PBE)

Data for a geometry-optimized NiTeMo2 structure.

Computed properties:
total moment = 0.00 μB/f.u.
volume = 69.1 Å³ per cell
uncorrected formation energy = 1.886 eV/f.u.

POSCAR file:
```
NiTeMo2
1.0
1.6839 -2.4002 0.0000
1.6839 2.4002 0.0000
0.0000 0.0000 8.5440
Ni Te Mo
1 1 2
direct
0.0000 0.0000 0.0000
0.5000 0.5000 0.7390
0.0000 0.0000 0.4454
0.5000 0.5000 0.2156
```


# 3
## NiTeMo2 (PBE)

Data for a geometry-optimized NiTeMo2 structure.

Computed properties:
total moment = 0.00 μB/f.u.
volume = 63.3 Å³ per cell
uncorrected formation energy = 1.204 eV/f.u.

POSCAR file:
```
NiTeMo2
1.0
-1.6908 2.2315 4.1939
1.6908 -2.2315 4.1939
1.6908 2.2315 -4.1939
Ni Te Mo
1 1 2
direct
0.0000 0.0000 0.0000
0.7770 0.2770 0.5000
0.2563 0.7563 0.5000
0.5170 0.5170 0.0000
```


# 4
## NiTeMo2 (PBE)

Data for a geometry-optimized NiTeMo2 structure.

Computed properties:
total moment = 0.00 μB/f.u.
volume = 65.1 Å³ per cell
uncorrected formation energy = 1.522 eV/f.u.

POSCAR file:
```
NiTeMo2
1.0
4.1950 0.0000 0.0000
0.0000 3.3253 0.0000
-0.9824 0.0000 4.6645
Ni Te Mo
1 1 2
direct
0.0000 0.0000 0.0000
0.5000 0.5000 0.0000
0.0000 0.5000 0.5000
0.5000 0.0000 0.5000
```


Please write out number 1 again, unchanged.
## NiTeMo2 (PBE)

Data for a geometry-optimized NiTeMo2 structure.

Computed properties:
total moment = 0.00 μB/f.u.
volume = 65.3 Å³ per cell
uncorrected formation energy = 1.484 eV/f.u.

POSCAR file:
```
NiTeMo2
1.0
3.0517 0.0000 0.0000
0.0000 4.2004 0.0000
-1.1902 0.0000 5.0913
Ni Te Mo
1 1 2
direct
0.0000 0.0000 0.0000
0.0972 0.5000 0.2504
0.4238 0.5000 0.7761
0.6638 0.0000 0.5143
```